VASP calculation (GGA-PBE) on a relaxed structure of LaNi3N.

Output
As for the size of the total moment: 1.724 μB per cell. As for the total energy: -3.824 eV per atom. The calculation puts the excess energy over the best structure of this formula in the dataset at 2397 meV/atom. Its uncorrected formation energy is 2.30 eV per atom. The density of states at the Fermi level is 2.80 states/eV per cell.

abc: 4.7192 4.7192 4.7192
angles: 90.00 90.00 90.00
Positions (direct):
La: 0.0000 0.0000 0.0000
Ni: 0.0000 0.0000 0.5000
Ni: 0.0000 0.5000 0.0000
Ni: 0.5000 0.0000 0.0000
N: 0.5000 0.5000 0.5000